# 1
A relaxed structure of TlMoP3. Source: Alexandria, functional PBE.

Unit cell a=4.778 b=4.778 c=4.778 alpha=90.00 beta=90.00 gamma=90.00
Fractional coordinates of all 5 atoms:
Tl (0.000, 0.000, 0.000)
Mo (0.500, 0.500, 0.500)
P (0.000, 0.500, 0.500)
P (0.500, 0.000, 0.500)
P (0.500, 0.500, 0.000)

Summary:
The formation energy is 0.324 eV per atom. The calculation puts the density at 6.0 Mg/m³. Its polymorph energy (0 for the lowest one) is 0.00 eV per formula unit.


# 2
A relaxed structure of La2CePaN5. Source: Alexandria, functional PBE.

Unit cell a=4.278 b=4.278 c=8.887 alpha=90.00 beta=90.00 gamma=90.00
Fractional coordinates of all 9 atoms:
La (0.000, 0.000, 0.225)
La (0.000, 0.000, 0.775)
Ce (0.500, 0.500, 0.500)
Pa (0.500, 0.500, 0.000)
N (0.000, 0.000, 0.500)
N (0.000, 0.500, 0.000)
N (0.500, 0.000, 0.000)
N (0.500, 0.500, 0.267)
N (0.500, 0.500, 0.733)

Summary:
As for the final energy: -8.705 eV per atom. The calculation puts the density at 7.3 Mg/m³.


# 3
A relaxed structure of PrGdTlIr. Source: Alexandria, functional PBE.

Unit cell a=5.228 b=5.228 c=5.228 alpha=60.00 beta=60.00 gamma=60.00
Fractional coordinates of all 4 atoms:
Pr (0.000, 0.000, 0.000)
Gd (0.500, 0.500, 0.500)
Tl (0.250, 0.250, 0.250)
Ir (0.750, 0.750, 0.750)

Summary:
The formation energy is -0.381 eV per atom. The calculation puts the density at 11.4 Mg/m³.


# 4
A relaxed structure of KNpAg2S4. Source: Alexandria, functional PBE.

Unit cell a=6.399 b=6.399 c=6.399 alpha=116.20 beta=111.28 gamma=101.28
Fractional coordinates of all 8 atoms:
K (0.000, 0.000, 0.000)
Np (0.500, 0.500, 0.000)
Ag (0.314, 0.814, 0.500)
Ag (0.686, 0.186, 0.500)
S (0.108, 0.107, 0.574)
S (0.466, 0.893, 0.001)
S (0.534, 0.535, 0.426)
S (0.892, 0.465, 0.999)

Summary:
As for the final energy: -5.125 eV per atom. The calculation puts the density at 5.2 Mg/m³.